No. 1
DFT (PBE-GGA) results for a relaxed LaIn2Mo crystal.

Size of the total moment (μB/atom): 0.0029
E_tot (eV/atom): -5.02

a = 6.1937 Å, b = 9.7674 Å, c = 3.0918 Å
α = 90.00°, β = 92.67°, γ = 90.00°
Last column: nearest neighbours and their distance in Å.
Space group C2/m (No. 12)
Asymmetric unit:
La  0.0000  0.0000  0.0000 [2 per cell]  2 La 3.09, 2 Mo 3.10, 8 In 3.24-3.31
In  0.2500  0.2500  0.5000 [4 per cell]  4 In 3.09-3.10, 4 La 3.24-3.31, 4 Mo 3.24-3.31
Mo  0.0000  0.5000  0.0000 [2 per cell]  2 Mo 3.09, 2 La 3.10, 8 In 3.24-3.31

---

No. 2
DFT (PBE-GGA) results for a relaxed La2InMo crystal.

Size of the total moment (μB/atom): 0.0000
E_tot (eV/atom): -5.56

a = 3.6126 Å, b = 3.6126 Å, c = 30.2100 Å
α = 90.00°, β = 90.00°, γ = 120.00°
Last column: nearest neighbours and their distance in Å.
Space group R-3m (No. 166, hexagonal axes)
Asymmetric unit:
La  0.0000  0.0000  0.2374 [6 per cell]  3 Mo 2.99
In  0.0000  0.0000  0.0000 [3 per cell]  6 La 3.57, 6 In 3.61
Mo  0.0000  0.0000  0.5000 [3 per cell]  6 La 2.99